Here is crystalline RbZnInCl6 at its relaxed geometry from Alexandria via LeMat-Bulk. Energies are from PBE-GGA.

Calculated values
* total magnetic moment: 0.00 μB/f.u.
* E_tot: -55.8 eV per cell
* E_form (uncorrected): -1.3155 eV/atom

Cell lengths 6.5793, 6.5793, 14.7873 Å; angles 90.00, 90.00, 120.00 degrees
Closest atoms and distances in Å follow each position.
Element x y z (fractional)
Zn: 0.3333 0.6667 0.7500  6 Cl 2.50
Zn: 0.6667 0.3333 0.2500  6 Cl 2.50
Cl: 0.6289 0.0069 0.3480  1 Zn 2.50, 1 In 2.56
Cl: 0.9931 0.3711 0.1520  1 Zn 2.50, 1 In 2.56
Cl: 0.0069 0.3780 0.6520  1 Zn 2.50, 1 In 2.56
Cl: 0.3780 0.0069 0.1520  1 Zn 2.50, 1 In 2.56
Cl: 0.3711 0.9931 0.6520  1 Zn 2.50, 1 In 2.56
Cl: 0.6220 0.9931 0.8480  1 Zn 2.50, 1 In 2.56
Cl: 0.3711 0.3780 0.8480  1 Zn 2.50, 1 In 2.56
Cl: 0.6220 0.6289 0.6520  1 Zn 2.50, 1 In 2.56
Cl: 0.0069 0.6289 0.8480  1 Zn 2.50, 1 In 2.56
Cl: 0.3780 0.3711 0.3480  1 Zn 2.50, 1 In 2.56
Cl: 0.9931 0.6220 0.3480  1 Zn 2.50, 1 In 2.56
Cl: 0.6289 0.6220 0.1520  1 Zn 2.50, 1 In 2.56
In: 0.3333 0.6667 0.2500  6 Cl 2.56
In: 0.6667 0.3333 0.7500  6 Cl 2.56
Rb: 0.0000 0.0000 0.0000  6 Cl 3.34
Rb: 0.0000 0.0000 0.5000  6 Cl 3.34



Here is crystalline RbZnIn2Cl5 at its relaxed geometry from Alexandria via LeMat-Bulk. Energies are from PBE-GGA.

Calculated values
* total magnetic moment: 0.00 μB/f.u.
* E_tot: -55.6 eV per cell
* E_form (uncorrected): -1.2032 eV/atom

Cell lengths 8.5043, 8.5043, 9.5566 Å; angles 116.42, 116.42, 90.00 degrees
Closest atoms and distances in Å follow each position.
Element x y z (fractional)
In: 0.1667 0.3333 0.0000  8 Cl 3.17-3.54
In: 0.3333 0.8333 0.0000  8 Cl 3.17-3.54
In: 0.8333 0.6667 0.0000  8 Cl 3.17-3.54
In: 0.6667 0.1667 0.0000  8 Cl 3.17-3.54
Cl: 0.9952 0.4952 0.6906  1 Zn 2.29
Cl: 0.8047 0.0048 0.3094  1 Zn 2.29
Cl: 0.0000 0.0000 0.0000  4 In 3.17
Cl: 0.5000 0.5000 0.0000  4 In 3.17
Cl: 0.3047 0.8047 0.3094  1 Zn 2.29
Cl: 0.1953 0.9952 0.6906  1 Zn 2.29
Cl: 0.6953 0.1953 0.6906  1 Zn 2.29
Cl: 0.4952 0.6953 0.6906  1 Zn 2.29
Cl: 0.0048 0.5048 0.3094  1 Zn 2.29
Cl: 0.5048 0.3047 0.3094  1 Zn 2.29
Rb: 0.7500 0.7500 0.5000  10 Cl 3.53-3.71
Rb: 0.2500 0.2500 0.5000  10 Cl 3.53-3.71
Zn: 0.7500 0.2500 0.5000  4 Cl 2.29
Zn: 0.2500 0.7500 0.5000  4 Cl 2.29



Here is crystalline RbZrInCl2 at its relaxed geometry from Alexandria via LeMat-Bulk. Energies are from PBE-GGA.

Calculated values
* total magnetic moment: 3.71 μB/f.u.
* E_tot: -14.0 eV per cell
* E_form (uncorrected): 0.3992 eV/atom

Cell lengths 5.8156, 6.1060, 5.8156 Å; angles 90.00, 90.00, 90.00 degrees
Closest atoms and distances in Å follow each position.
Element x y z (fractional)
Zr: 0.0000 0.5000 0.0000  2 Rb 3.05
Rb: 0.0000 0.0000 0.0000  4 Cl 2.91, 2 Zr 3.05
Cl: 0.5000 0.0000 0.0000  2 Rb 2.91
Cl: 0.0000 0.0000 0.5000  2 Rb 2.91
In: 0.5000 0.5000 0.5000  4 Zr 4.11, 8 Cl 4.22



Here is crystalline InReCl at its relaxed geometry from Alexandria via LeMat-Bulk. Energies are from PBE-GGA.

Calculated values
* total magnetic moment: 0.00 μB/f.u.
* E_tot: -15.4 eV per cell
* E above lowest polymorph: 0.017 eV/atom
* E_form (uncorrected): 0.5358 eV/atom

Cell lengths 8.4418, 8.1358, 3.0482 Å; angles 85.12, 73.79, 21.09 degrees
Closest atoms and distances in Å follow each position.
Element x y z (fractional)
Re: 0.6532 0.6532 0.3468  2 Cl 2.38
In: 0.3114 0.3114 0.6886  6 In 2.90-3.05, 2 Re 2.92
Cl: 0.0354 0.0354 0.9646  2 Re 2.38



Here is crystalline InReCl2 at its relaxed geometry from Alexandria via LeMat-Bulk. Energies are from PBE-GGA.

Calculated values
* total magnetic moment: 0.00 μB/f.u.
* E_tot: -17.9 eV per cell
* E above lowest polymorph: 0.256 eV/atom
* E_form (uncorrected): 0.2334 eV/atom

Cell lengths 3.2374, 3.2374, 9.7303 Å; angles 90.00, 90.00, 124.83 degrees
Closest atoms and distances in Å follow each position.
Element x y z (fractional)
Cl: 0.0000 0.0000 0.9453  2 Re 2.42
Cl: 0.0000 0.0000 0.5547  2 Re 2.42
Re: 0.5000 0.5000 0.7500  4 Cl 2.42
In: 0.5000 0.5000 0.2500  6 In 3.00-3.24, 4 Cl 3.32



Here is crystalline InRe2Cl at its relaxed geometry from Alexandria via LeMat-Bulk. Energies are from PBE-GGA.

Calculated values
* total magnetic moment: 0.00 μB/f.u.
* E_tot: -23.8 eV per cell
* E above lowest polymorph: 1.316 eV/atom
* E_form (uncorrected): 1.4199 eV/atom

Cell lengths 4.5475, 4.5475, 4.5475 Å; angles 60.00, 60.00, 60.00 degrees
Closest atoms and distances in Å follow each position.
Element x y z (fractional)
In: 0.5000 0.5000 0.5000  8 Re 2.78
Re: 0.2500 0.2500 0.2500  4 Cl 2.78, 4 In 2.78
Re: 0.7500 0.7500 0.7500  4 In 2.78, 4 Cl 2.78
Cl: 0.0000 0.0000 0.0000  8 Re 2.78